(1)
# TiGaPt2S | the Alexandria database | PBE | relaxed
data_TiGaPt2S
_cell_length_a 4.479
_cell_length_b 4.479
_cell_length_c 4.779
_cell_angle_alpha 90.00
_cell_angle_beta 90.00
_cell_angle_gamma 90.00
_symmetry_space_group_name_H-M 'P 4/m m m'
_symmetry_Int_Tables_number 123
_symmetry_space_group_name_Hall '-P 4 2'
loop_
_atom_site_label
_atom_site_type_symbol
_atom_site_fract_x
_atom_site_fract_y
_atom_site_fract_z
Ti1 Ti 0.000 0.000 0.000
Ga1 Ga 0.500 0.500 0.000
Pt1 Pt 0.000 0.500 0.500
S1 S 0.500 0.500 0.500
# - Uncorrected formation energy: 9.1 kcal/mol of atoms
# - Magnetic moment: 0.00 μB per cell

(2)
# RbSi2Ni2 | the Alexandria database | PBE | relaxed
data_RbSi2Ni2
_cell_length_a 3.987
_cell_length_b 3.987
_cell_length_c 13.216
_cell_angle_alpha 90.00
_cell_angle_beta 90.00
_cell_angle_gamma 90.00
_symmetry_space_group_name_H-M 'I 4/m m m'
_symmetry_Int_Tables_number 139
_symmetry_space_group_name_Hall '-I 4 2'
loop_
_atom_site_label
_atom_site_type_symbol
_atom_site_fract_x
_atom_site_fract_y
_atom_site_fract_z
Rb1 Rb 0.000 0.000 0.000
Si1 Si 0.000 0.500 0.250
Ni1 Ni 0.000 0.000 0.333
# - Energy above the lowest structure with this stoichiometry: 119.6 meV/atom
# - Uncorrected formation energy: -0.7 kcal/mol of atoms
# - Magnetic moment: 0.00 μB per cell

(3)
# La4In12Rh | the Alexandria database | PBE | relaxed
data_La4In12Rh
_cell_length_a 9.612
_cell_length_b 9.612
_cell_length_c 9.612
_cell_angle_alpha 90.00
_cell_angle_beta 90.00
_cell_angle_gamma 90.00
_symmetry_space_group_name_H-M 'I m -3 m'
_symmetry_Int_Tables_number 229
_symmetry_space_group_name_Hall '-I 4 2 3'
loop_
_atom_site_label
_atom_site_type_symbol
_atom_site_fract_x
_atom_site_fract_y
_atom_site_fract_z
La1 La 0.250 0.250 0.250
In1 In 0.000 0.000 0.281
In2 In 0.000 0.250 0.500
Rh1 Rh 0.000 0.000 0.000
# - Energy of formation from the pure elements: -0.51 eV/atom
# - Magnetic moment: 0.00 μB per cell

(4)
# Ti5VFe4 | the Alexandria database | PBE | relaxed
data_Ti5VFe4
_cell_length_a 2.957
_cell_length_b 2.957
_cell_length_c 15.232
_cell_angle_alpha 90.00
_cell_angle_beta 90.00
_cell_angle_gamma 90.00
_symmetry_space_group_name_H-M 'P 4/m m m'
_symmetry_Int_Tables_number 123
_symmetry_space_group_name_Hall '-P 4 2'
loop_
_atom_site_label
_atom_site_type_symbol
_atom_site_fract_x
_atom_site_fract_y
_atom_site_fract_z
Ti1 Ti 0.000 0.000 0.000
Ti2 Ti 0.000 0.000 0.195
Ti3 Ti 0.000 0.000 0.389
V1 V 0.500 0.500 0.500
Fe1 Fe 0.500 0.500 0.097
Fe2 Fe 0.500 0.500 0.290
# - Energy of formation from the pure elements: -0.31 eV/atom
# - Magnetic moment: 0.00 μB per cell

(5)
# MoRu5W2 | the Alexandria database | PBE | relaxed
data_MoRu5W2
_cell_length_a 5.523
_cell_length_b 5.523
_cell_length_c 7.712
_cell_angle_alpha 90.00
_cell_angle_beta 90.00
_cell_angle_gamma 90.00
_symmetry_space_group_name_H-M 'I 4/m m m'
_symmetry_Int_Tables_number 139
_symmetry_space_group_name_Hall '-I 4 2'
loop_
_atom_site_label
_atom_site_type_symbol
_atom_site_fract_x
_atom_site_fract_y
_atom_site_fract_z
Mo1 Mo 0.000 0.000 0.000
Ru1 Ru 0.000 0.000 0.500
Ru2 Ru 0.250 0.250 0.250
W1 W 0.000 0.500 0.000
# - Energy of formation from the pure elements: 0.02 eV/atom
# - Magnetic moment: 0.00 μB per cell

(6)
# GaFe4H | the Alexandria database | PBE | relaxed
data_GaFe4H
_cell_length_a 6.723
_cell_length_b 8.662
_cell_length_c 4.519
_cell_angle_alpha 90.00
_cell_angle_beta 105.05
_cell_angle_gamma 90.00
_symmetry_space_group_name_H-M 'C 1 2/c 1'
_symmetry_Int_Tables_number 15
loop_
_symmetry_equiv_pos_as_xyz
'x,y,z'
'-x,-y,-z'
'-x,y,-z+1/2'
'x,-y,z+1/2'
'x+1/2,y+1/2,z'
'-x+1/2,-y+1/2,-z'
'-x+1/2,y+1/2,-z+1/2'
'x+1/2,-y+1/2,z+1/2'
loop_
_atom_site_label
_atom_site_type_symbol
_atom_site_fract_x
_atom_site_fract_y
_atom_site_fract_z
Ga1 Ga 0.000 0.133 0.250
Fe1 Fe 0.109 0.371 0.561
Fe2 Fe 0.196 0.128 0.837
H1 H 0.000 0.489 0.250
# - Electronic total energy: -6.702 eV/atom
# - Magnetic moment: 37.14 μB per cell

(7)
# YGaBi | the Alexandria database | PBE | relaxed
data_YGaBi
_cell_length_a 4.8867
_cell_length_b 4.8867
_cell_length_c 3.9285
_cell_angle_alpha 90.00
_cell_angle_beta 90.00
_cell_angle_gamma 120.00
_symmetry_space_group_name_H-M 'P 3 m 1'
_symmetry_Int_Tables_number 156
loop_
_symmetry_equiv_pos_as_xyz
'x,y,z'
'-y,x-y,z'
'-x+y,-x,z'
'-y,-x,z'
'-x+y,y,z'
'x,x-y,z'
loop_
_atom_site_label
_atom_site_type_symbol
_atom_site_fract_x
_atom_site_fract_y
_atom_site_fract_z
Y1 Y 0.0000 0.0000 0.0000
Ga1 Ga 0.6667 0.3333 0.3419
Bi1 Bi 0.3333 0.6667 0.5422
# - Energy of formation from the pure elements: -0.34 eV/atom
# - Magnetic moment: 0.00 μB per cell

(8)
# ErZrSi2 | the Alexandria database | PBE | relaxed
data_ErZrSi2
_cell_length_a 3.771
_cell_length_b 5.493
_cell_length_c 7.436
_cell_angle_alpha 90.00
_cell_angle_beta 90.00
_cell_angle_gamma 90.00
_symmetry_space_group_name_H-M 'P m c 21'
_symmetry_Int_Tables_number 26
loop_
_symmetry_equiv_pos_as_xyz
'x,y,z'
'-x,-y,z+1/2'
'-x,y,z'
'x,-y,z+1/2'
loop_
_atom_site_label
_atom_site_type_symbol
_atom_site_fract_x
_atom_site_fract_y
_atom_site_fract_z
Er1 Er 0.000 0.129 0.000
Zr1 Zr 0.500 0.373 0.358
Si1 Si 0.000 0.390 0.637
Si2 Si 0.500 0.123 0.716
# - Energy above the lowest structure with this stoichiometry: 0.0 meV/atom
# - Uncorrected formation energy: -19.4 kcal/mol of atoms
# - Magnetic moment: 0.00 μB per cell

(9)
# HfVCo2 | the Alexandria database | PBE | relaxed
data_HfVCo2
_cell_length_a 3.986
_cell_length_b 3.986
_cell_length_c 15.699
_cell_angle_alpha 90.00
_cell_angle_beta 90.00
_cell_angle_gamma 90.00
_symmetry_space_group_name_H-M 'I -4 2 d'
_symmetry_Int_Tables_number 122
_symmetry_space_group_name_Hall 'I -4 2bw'
loop_
_atom_site_label
_atom_site_type_symbol
_atom_site_fract_x
_atom_site_fract_y
_atom_site_fract_z
Hf1 Hf 0.000 0.000 0.000
V1 V 0.000 0.000 0.500
Co1 Co 0.188 0.250 0.625
# - Energy of formation from the pure elements: 0.48 eV/atom
# - Energy above the lowest structure with this stoichiometry: 681.1 meV/atom
# - Magnetic moment: 1.51 μB per cell

(10)
# BaCd2HgBi2 | the Alexandria database | PBE | relaxed
data_BaCd2HgBi2
_cell_length_a 7.944
_cell_length_b 9.529
_cell_length_c 5.048
_cell_angle_alpha 90.00
_cell_angle_beta 90.00
_cell_angle_gamma 90.00
_symmetry_space_group_name_H-M 'P n n m'
_symmetry_Int_Tables_number 58
loop_
_symmetry_equiv_pos_as_xyz
'x,y,z'
'-x,-y,-z'
'-x,-y,z'
'x,y,-z'
'x+1/2,-y+1/2,-z+1/2'
'-x+1/2,y+1/2,z+1/2'
'-x+1/2,y+1/2,-z+1/2'
'x+1/2,-y+1/2,z+1/2'
loop_
_atom_site_label
_atom_site_type_symbol
_atom_site_fract_x
_atom_site_fract_y
_atom_site_fract_z
Ba1 Ba 0.000 0.000 0.000
Cd1 Cd 0.159 0.351 0.000
Hg1 Hg 0.000 0.500 0.500
Bi1 Bi 0.236 0.679 0.000
# - Energy of formation from the pure elements: -0.32 eV/atom
# - Magnetic moment: 0.00 μB per cell

(11)
# B5C | the Alexandria database | PBE | relaxed
data_B5C
_cell_length_a 5.077
_cell_length_b 2.613
_cell_length_c 8.175
_cell_angle_alpha 90.00
_cell_angle_beta 105.62
_cell_angle_gamma 90.00
_symmetry_space_group_name_H-M 'P 1 21/m 1'
_symmetry_Int_Tables_number 11
loop_
_symmetry_equiv_pos_as_xyz
'x,y,z'
'-x,-y,-z'
'-x,y+1/2,-z'
'x,-y+1/2,z'
loop_
_atom_site_label
_atom_site_type_symbol
_atom_site_fract_x
_atom_site_fract_y
_atom_site_fract_z
B1 B 0.027 0.250 0.283
B2 B 0.039 0.750 0.932
B3 B 0.186 0.250 0.703
B4 B 0.352 0.250 0.277
B5 B 0.431 0.750 0.058
C1 C 0.495 0.250 0.742
# - Energy of formation from the pure elements: 0.51 eV/atom
# - Energy above the lowest structure with this stoichiometry: 309.0 meV/atom
# - Magnetic moment: 0.00 μB per cell

(12)
# YTi2Pt | the Alexandria database | PBE | relaxed
data_YTi2Pt
_cell_length_a 10.192
_cell_length_b 4.577
_cell_length_c 8.146
_cell_angle_alpha 90.00
_cell_angle_beta 120.88
_cell_angle_gamma 90.00
_symmetry_space_group_name_H-M 'C 1 m 1'
_symmetry_Int_Tables_number 8
loop_
_symmetry_equiv_pos_as_xyz
'x,y,z'
'x,-y,z'
'x+1/2,y+1/2,z'
'x+1/2,-y+1/2,z'
loop_
_atom_site_label
_atom_site_type_symbol
_atom_site_fract_x
_atom_site_fract_y
_atom_site_fract_z
Y1 Y 0.000 0.000 0.000
Y2 Y 0.112 0.500 0.767
Ti1 Ti 0.011 0.000 0.429
Ti2 Ti 0.181 0.500 0.430
Ti3 Ti 0.290 0.000 0.424
Ti4 Ti 0.357 0.000 0.116
Pt1 Pt 0.240 0.500 0.159
Pt2 Pt 0.285 0.000 0.746
# - Energy of formation from the pure elements: -0.46 eV/atom
# - Energy above the lowest structure with this stoichiometry: 61.4 meV/atom
# - Magnetic moment: 0.00 μB per cell

(13)
# FeCu2Se | the Alexandria database | PBE | relaxed
data_FeCu2Se
_cell_length_a 4.968
_cell_length_b 8.201
_cell_length_c 2.717
_cell_angle_alpha 90.00
_cell_angle_beta 90.26
_cell_angle_gamma 90.00
_symmetry_space_group_name_H-M 'C 1 2/m 1'
_symmetry_Int_Tables_number 12
loop_
_symmetry_equiv_pos_as_xyz
'x,y,z'
'-x,-y,-z'
'-x,y,-z'
'x,-y,z'
'x+1/2,y+1/2,z'
'-x+1/2,-y+1/2,-z'
'-x+1/2,y+1/2,-z'
'x+1/2,-y+1/2,z'
loop_
_atom_site_label
_atom_site_type_symbol
_atom_site_fract_x
_atom_site_fract_y
_atom_site_fract_z
Fe1 Fe 0.000 0.000 0.000
Cu1 Cu 0.250 0.250 0.500
Se1 Se 0.000 0.500 0.000
# - Uncorrected formation energy: 7.7 kcal/mol of atoms
# - Magnetic moment: 5.31 μB per cell

(14)
# GePIrS2 | the Alexandria database | PBE | relaxed
data_GePIrS2
_cell_length_a 4.908
_cell_length_b 4.908
_cell_length_c 4.355
_cell_angle_alpha 90.00
_cell_angle_beta 90.00
_cell_angle_gamma 90.00
_symmetry_space_group_name_H-M 'P 4/m m m'
_symmetry_Int_Tables_number 123
_symmetry_space_group_name_Hall '-P 4 2'
loop_
_atom_site_label
_atom_site_type_symbol
_atom_site_fract_x
_atom_site_fract_y
_atom_site_fract_z
Ge1 Ge 0.000 0.000 0.000
P1 P 0.500 0.500 0.000
Ir1 Ir 0.500 0.500 0.500
S1 S 0.000 0.500 0.500
# - Energy above the lowest structure with this stoichiometry: 0.0 meV/atom
# - Uncorrected formation energy: 12.9 kcal/mol of atoms
# - Magnetic moment: 0.00 μB per cell

(15)
# ZrSiRh2 | the Alexandria database | PBE | relaxed
data_ZrSiRh2
_cell_length_a 2.963
_cell_length_b 3.662
_cell_length_c 5.898
_cell_angle_alpha 90.00
_cell_angle_beta 99.81
_cell_angle_gamma 90.00
_symmetry_space_group_name_H-M 'P 1 2/m 1'
_symmetry_Int_Tables_number 10
loop_
_symmetry_equiv_pos_as_xyz
'x,y,z'
'-x,-y,-z'
'-x,y,-z'
'x,-y,z'
loop_
_atom_site_label
_atom_site_type_symbol
_atom_site_fract_x
_atom_site_fract_y
_atom_site_fract_z
Zr1 Zr 0.000 0.000 0.000
Si1 Si 0.000 0.000 0.500
Rh1 Rh 0.421 0.500 0.723
# - Uncorrected formation energy: -15.2 kcal/mol of atoms
# - Magnetic moment: 0.00 μB per cell

(16)
# In2IrPt2 | the Alexandria database | PBE | relaxed
data_In2IrPt2
_cell_length_a 7.057
_cell_length_b 7.057
_cell_length_c 3.709
_cell_angle_alpha 90.00
_cell_angle_beta 90.00
_cell_angle_gamma 90.00
_symmetry_space_group_name_H-M 'P 4/m b m'
_symmetry_Int_Tables_number 127
_symmetry_space_group_name_Hall '-P 4 2ab'
loop_
_atom_site_label
_atom_site_type_symbol
_atom_site_fract_x
_atom_site_fract_y
_atom_site_fract_z
In1 In 0.171 0.329 0.000
Ir1 Ir 0.000 0.000 0.500
Pt1 Pt 0.134 0.634 0.500
# - Energy of formation from the pure elements: -0.05 eV/atom
# - Magnetic moment: 0.05 μB per cell

(17)
# YW | the Alexandria database | PBE | relaxed
data_YW
_cell_length_a 4.346
_cell_length_b 5.270
_cell_length_c 7.773
_cell_angle_alpha 90.00
_cell_angle_beta 90.00
_cell_angle_gamma 90.00
_symmetry_space_group_name_H-M 'I m m a'
_symmetry_Int_Tables_number 74
_symmetry_space_group_name_Hall '-I 2b 2'
loop_
_atom_site_label
_atom_site_type_symbol
_atom_site_fract_x
_atom_site_fract_y
_atom_site_fract_z
Y1 Y 0.000 0.250 0.104
W1 W 0.000 0.250 0.663
# - Energy of formation from the pure elements: 0.48 eV/atom
# - Energy above the lowest structure with this stoichiometry: 237.0 meV/atom
# - Magnetic moment: 0.00 μB per cell

(18)
# MnTcTe2I | the Alexandria database | PBE | relaxed
data_MnTcTe2I
_cell_length_a 5.163
_cell_length_b 5.163
_cell_length_c 5.750
_cell_angle_alpha 90.00
_cell_angle_beta 90.00
_cell_angle_gamma 90.00
_symmetry_space_group_name_H-M 'P 4/m m m'
_symmetry_Int_Tables_number 123
_symmetry_space_group_name_Hall '-P 4 2'
loop_
_atom_site_label
_atom_site_type_symbol
_atom_site_fract_x
_atom_site_fract_y
_atom_site_fract_z
Mn1 Mn 0.000 0.000 0.000
Tc1 Tc 0.500 0.500 0.500
Te1 Te 0.000 0.500 0.500
I1 I 0.500 0.500 0.000
# - Energy above the lowest structure with this stoichiometry: 0.0 meV/atom
# - Uncorrected formation energy: 16.7 kcal/mol of atoms
# - Magnetic moment: 4.93 μB per cell

(19)
# PaCo2Si3 | the Alexandria database | PBE | relaxed
data_PaCo2Si3
_cell_length_a 9.668
_cell_length_b 7.149
_cell_length_c 4.984
_cell_angle_alpha 90.00
_cell_angle_beta 90.00
_cell_angle_gamma 90.00
_symmetry_space_group_name_H-M 'C m c m'
_symmetry_Int_Tables_number 63
_symmetry_space_group_name_Hall '-C 2c 2'
loop_
_atom_site_label
_atom_site_type_symbol
_atom_site_fract_x
_atom_site_fract_y
_atom_site_fract_z
Pa1 Pa 0.000 0.146 0.250
Co1 Co 0.192 0.500 0.000
Si1 Si 0.000 0.431 0.750
Si2 Si 0.189 0.211 0.750
# - Energy above the lowest structure with this stoichiometry: 76.8 meV/atom
# - Uncorrected formation energy: -13.0 kcal/mol of atoms
# - Magnetic moment: 3.86 μB per cell

(20)
# TbCeHoPu | the Alexandria database | PBE | relaxed
data_TbCeHoPu
_cell_length_a 7.876
_cell_length_b 7.876
_cell_length_c 7.876
_cell_angle_alpha 90.00
_cell_angle_beta 90.00
_cell_angle_gamma 90.00
_symmetry_space_group_name_H-M 'F -4 3 m'
_symmetry_Int_Tables_number 216
_symmetry_space_group_name_Hall 'F -4 2 3'
loop_
_atom_site_label
_atom_site_type_symbol
_atom_site_fract_x
_atom_site_fract_y
_atom_site_fract_z
Tb1 Tb 0.000 0.000 0.000
Ce1 Ce 0.250 0.250 0.750
Ho1 Ho 0.000 0.000 0.500
Pu1 Pu 0.250 0.250 0.250
# - Energy of formation from the pure elements: 0.27 eV/atom
# - Magnetic moment: 31.59 μB per cell